(1)
# TcTe2PN (PBEsol, relaxed)
# Formation energy without anion corrections = 0.44 eV/atom
# Theoretical density = 6.604 g/cm3
# Raw total energy = -30.43 eV per formula unit
data_TcTe2PN
_chemical_formula_sum 'Tc1 Te2 P1 N1'
_cell_length_a 5.236
_cell_length_b 5.236
_cell_length_c 3.652
_cell_angle_alpha 90.00
_cell_angle_beta 90.00
_cell_angle_gamma 90.00
_symmetry_space_group_name_H-M 'P 4/m m m'
_symmetry_Int_Tables_number 123
_symmetry_space_group_name_Hall '-P 4 2'
loop_
_atom_site_label
_atom_site_fract_x
_atom_site_fract_y
_atom_site_fract_z
Tc1 0.000 0.000 0.000
Te1 0.000 0.500 0.000
P1 0.500 0.500 0.500
N1 0.000 0.000 0.500

=====

(2)
# Zr2ZnIn (PBEsol, relaxed)
# Theoretical density = 7.663 g/cm3
# Energy of formation from the pure elements = -5.56 kcal/mol of atoms
# Raw total energy = -23.71 eV per formula unit
data_Zr2ZnIn
_chemical_formula_sum 'Zr2 Zn1 In1'
_cell_length_a 3.117
_cell_length_b 4.975
_cell_length_c 5.069
_cell_angle_alpha 90.00
_cell_angle_beta 90.50
_cell_angle_gamma 90.00
_symmetry_space_group_name_H-M 'P 1 m 1'
_symmetry_Int_Tables_number 6
loop_
_symmetry_equiv_pos_as_xyz
'x,y,z'
'x,-y,z'
loop_
_atom_site_label
_atom_site_fract_x
_atom_site_fract_y
_atom_site_fract_z
Zr1 0.000 0.000 0.000
Zr2 0.020 0.500 0.603
Zn1 0.507 0.000 0.503
In1 0.511 0.500 0.111

=====

(3)
# ReBiPCl2 (PBEsol, relaxed)
# Formation energy without anion corrections = 0.41 eV/atom
# Theoretical density = 7.858 g/cm3
# Raw total energy = -25.37 eV per formula unit
data_ReBiPCl2
_chemical_formula_sum 'Re1 Bi1 P1 Cl2'
_cell_length_a 4.721
_cell_length_b 4.721
_cell_length_c 4.713
_cell_angle_alpha 90.00
_cell_angle_beta 90.00
_cell_angle_gamma 90.00
_symmetry_space_group_name_H-M 'P 4/m m m'
_symmetry_Int_Tables_number 123
_symmetry_space_group_name_Hall '-P 4 2'
loop_
_atom_site_label
_atom_site_fract_x
_atom_site_fract_y
_atom_site_fract_z
Re1 0.000 0.000 0.000
Bi1 0.500 0.500 0.500
P1 0.000 0.000 0.500
Cl1 0.000 0.500 0.000

=====

(4)
# CrSnBr3 (PBEsol, relaxed)
# Formation energy without anion corrections = 0.14 eV/atom
# Theoretical density = 3.890 g/cm3
# Raw total energy = -19.41 eV per formula unit
data_CrSnBr3
_chemical_formula_sum 'Cr1 Sn1 Br3'
_cell_length_a 5.596
_cell_length_b 5.596
_cell_length_c 5.596
_cell_angle_alpha 90.00
_cell_angle_beta 90.00
_cell_angle_gamma 90.00
_symmetry_space_group_name_H-M 'P m -3 m'
_symmetry_Int_Tables_number 221
_symmetry_space_group_name_Hall '-P 4 2 3'
loop_
_atom_site_label
_atom_site_fract_x
_atom_site_fract_y
_atom_site_fract_z
Cr1 0.000 0.000 0.000
Sn1 0.500 0.500 0.500
Br1 0.000 0.500 0.500

=====

(5)
# IrPtSe2 (PBEsol, relaxed)
# Formation energy without anion corrections = 0.46 eV/atom
# Theoretical density = 14.133 g/cm3
# Raw total energy = -22.63 eV per formula unit
data_IrPtSe2
_chemical_formula_sum 'Ir2 Pt2 Se4'
_cell_length_a 3.847
_cell_length_b 3.847
_cell_length_c 8.659
_cell_angle_alpha 90.00
_cell_angle_beta 90.00
_cell_angle_gamma 90.00
_symmetry_space_group_name_H-M 'I -4 m 2'
_symmetry_Int_Tables_number 119
_symmetry_space_group_name_Hall 'I -4 -2'
loop_
_atom_site_label
_atom_site_fract_x
_atom_site_fract_y
_atom_site_fract_z
Ir1 0.000 0.000 0.000
Pt1 0.000 0.500 0.250
Se1 0.000 0.000 0.500
Se2 0.000 0.500 0.750

=====

(6)
# Ba2MnTc (PBEsol, relaxed)
# Theoretical density = 6.471 g/cm3
# Energy of formation from the pure elements = 15.16 kcal/mol of atoms
# Raw total energy = -22.70 eV per formula unit
data_Ba2MnTc
_chemical_formula_sum 'Ba2 Mn1 Tc1'
_cell_length_a 3.394
_cell_length_b 3.394
_cell_length_c 9.524
_cell_angle_alpha 90.00
_cell_angle_beta 90.00
_cell_angle_gamma 90.00
_symmetry_space_group_name_H-M 'P 4 m m'
_symmetry_Int_Tables_number 99
loop_
_symmetry_equiv_pos_as_xyz
'x,y,z'
'-y,x,z'
'-x,-y,z'
'y,-x,z'
'-x,y,z'
'y,x,z'
'x,-y,z'
'-y,-x,z'
loop_
_atom_site_label
_atom_site_fract_x
_atom_site_fract_y
_atom_site_fract_z
Ba1 0.000 0.000 0.000
Ba2 0.500 0.500 0.412
Mn1 0.000 0.000 0.678
Tc1 0.500 0.500 0.727

=====

(7)
# CrHgSe2N (PBEsol, relaxed)
# Formation energy without anion corrections = 1.37 eV/atom
# Theoretical density = 6.360 g/cm3
# Raw total energy = -20.19 eV per formula unit
data_CrHgSe2N
_chemical_formula_sum 'Cr1 Hg1 Se2 N1'
_cell_length_a 5.281
_cell_length_b 5.281
_cell_length_c 3.974
_cell_angle_alpha 90.00
_cell_angle_beta 90.00
_cell_angle_gamma 90.00
_symmetry_space_group_name_H-M 'P 4/m m m'
_symmetry_Int_Tables_number 123
_symmetry_space_group_name_Hall '-P 4 2'
loop_
_atom_site_label
_atom_site_fract_x
_atom_site_fract_y
_atom_site_fract_z
Cr1 0.000 0.000 0.000
Hg1 0.500 0.500 0.500
Se1 0.000 0.500 0.500
N1 0.500 0.500 0.000

=====

(8)
# Sr2CaCu2Bi2O8 (PBEsol, relaxed)
# Formation energy without anion corrections = -1.74 eV/atom
# Theoretical density = 6.698 g/cm3
# Raw total energy = -91.08 eV per formula unit
data_Sr2CaCu2Bi2O8
_chemical_formula_sum 'Sr8 Ca4 Cu8 Bi8 O32'
_cell_length_a 5.378
_cell_length_b 30.886
_cell_length_c 5.304
_cell_angle_alpha 90.00
_cell_angle_beta 90.00
_cell_angle_gamma 90.00
_symmetry_space_group_name_H-M 'C c c 2'
_symmetry_Int_Tables_number 37
loop_
_symmetry_equiv_pos_as_xyz
'x,y,z'
'-x,-y,z'
'-x,y,z+1/2'
'x,-y,z+1/2'
'x+1/2,y+1/2,z'
'-x+1/2,-y+1/2,z'
'-x+1/2,y+1/2,z+1/2'
'x+1/2,-y+1/2,z+1/2'
loop_
_atom_site_label
_atom_site_fract_x
_atom_site_fract_y
_atom_site_fract_z
Sr1 0.247 0.143 0.000
Ca1 0.250 0.250 0.001
Cu1 0.250 0.201 0.501
Bi1 0.235 0.450 0.528
O1 0.000 0.199 0.251
O2 0.000 0.302 0.250
O3 0.157 0.448 0.936
O4 0.228 0.116 0.497